1.
Density functional theory data (PBE-GGA) for a relaxed structure of LaTlCd.

It has space group Pmma (No. 51), with a = 5.138 Å, b = 3.784 Å, c = 8.875 Å, α = 90.00°, β = 90.00° and γ = 90.00°. Symmetry generates all atoms from La at (0.250, 0.000, 0.244), Tl at (0.250, 0.500, 0.905) and Cd at (0.250, 0.500, 0.571).

Its total energy is -9.265 eV per formula unit.

2.
Density functional theory data (PBE-GGA) for a relaxed structure of LaTlCd.

It has space group Cmcm (No. 63), with a = 5.467 Å, b = 9.483 Å, c = 6.694 Å, α = 90.00°, β = 90.00° and γ = 90.00°. Symmetry generates all atoms from La at (0.000, 0.167, 0.250), Tl at (0.000, 0.166, 0.750) and Cd at (0.000, 0.500, 0.000).

Its total energy is -9.285 eV per formula unit.

3.
Density functional theory data (PBE-GGA) for a relaxed structure of La14TlCd.

It has space group P4/mmm (No. 123), with a = 7.254 Å, b = 7.254 Å, c = 10.514 Å, α = 90.00°, β = 90.00° and γ = 90.00°. Symmetry generates all atoms from La at (0.000, 0.000, 0.000), La at (0.000, 0.500, 0.000), La at (0.000, 0.500, 0.500), La at (0.250, 0.250, 0.256), La at (0.500, 0.500, 0.000), Tl at (0.000, 0.000, 0.500) and Cd at (0.500, 0.500, 0.500).

Its total energy is -73.531 eV per formula unit.

Please write out number 2 again, unchanged.
Density functional theory data (PBE-GGA) for a relaxed structure of LaTlCd.

It has space group Cmcm (No. 63), with a = 5.467 Å, b = 9.483 Å, c = 6.694 Å, α = 90.00°, β = 90.00° and γ = 90.00°. Symmetry generates all atoms from La at (0.000, 0.167, 0.250), Tl at (0.000, 0.166, 0.750) and Cd at (0.000, 0.500, 0.000).

Its total energy is -9.285 eV per formula unit.